The following is a DFT calculation (PBE) of a geometry-optimized Rb2BaHg2Se4 structure.

Unit cell a=8.9942 b=8.9942 c=8.4184 alpha=108.99 beta=108.99 gamma=29.31
Last column: nearest neighbours and their distance in Å.
Element x y z (fractional)
1 Rb 0.1271 0.1271 0.0579  7 Se 3.55-3.87
2 Rb 0.8729 0.8729 0.9421  7 Se 3.55-3.87
3 Ba 0.0000 0.0000 0.5000  6 Se 3.28-3.45
4 Hg 0.3330 0.3330 0.5174  4 Se 2.63-2.93
5 Hg 0.6670 0.6670 0.4826  4 Se 2.63-2.93
6 Se 0.2095 0.2095 0.6840  3 Hg 2.78-2.93
7 Se 0.4756 0.4756 0.7592  1 Hg 2.63
8 Se 0.5244 0.5244 0.2408  1 Hg 2.63
9 Se 0.7905 0.7905 0.3160  3 Hg 2.78-2.93

Properties
The value obtained for the calculated volume is 313.9 Å³ per cell. As for the symmetry: C2/m, No. 12. As for the uncorrected formation energy: -0.976 eV/atom. Its total magnetization is 0.00 μB per formula unit.


The following is a DFT calculation (PBE) of a geometry-optimized ThZrCuRh structure.

Unit cell a=6.8991 b=6.8991 c=6.8991 alpha=90.00 beta=90.00 gamma=90.00
Last column: nearest neighbours and their distance in Å.
Element x y z (fractional)
1 Th 0.0000 0.0000 0.0000  4 Rh 2.99, 4 Cu 2.99
2 Th 0.0000 0.5000 0.5000  4 Cu 2.99, 4 Rh 2.99
3 Th 0.5000 0.0000 0.5000  4 Cu 2.99, 4 Rh 2.99
4 Th 0.5000 0.5000 0.0000  4 Cu 2.99, 4 Rh 2.99
5 Zr 0.0000 0.0000 0.5000  4 Cu 2.99, 4 Rh 2.99
6 Zr 0.0000 0.5000 0.0000  4 Cu 2.99, 4 Rh 2.99
7 Zr 0.5000 0.0000 0.0000  4 Cu 2.99, 4 Rh 2.99
8 Zr 0.5000 0.5000 0.5000  4 Cu 2.99, 4 Rh 2.99
9 Cu 0.2500 0.2500 0.7500  4 Zr 2.99, 4 Th 2.99
10 Cu 0.2500 0.7500 0.2500  4 Zr 2.99, 4 Th 2.99
11 Cu 0.7500 0.2500 0.2500  4 Zr 2.99, 4 Th 2.99
12 Cu 0.7500 0.7500 0.7500  4 Zr 2.99, 4 Th 2.99
13 Rh 0.2500 0.2500 0.2500  4 Zr 2.99, 4 Th 2.99
14 Rh 0.2500 0.7500 0.7500  4 Zr 2.99, 4 Th 2.99
15 Rh 0.7500 0.2500 0.7500  4 Zr 2.99, 4 Th 2.99
16 Rh 0.7500 0.7500 0.2500  4 Zr 2.99, 4 Th 2.99

Properties
The value obtained for the calculated volume is 328.4 Å³ per cell. As for the symmetry: F-43m, No. 216. The value obtained for the formation enthalpy at 0 K is -337 meV per atom. Its total magnetization is 0.00 μB per formula unit.


The following is a DFT calculation (PBE) of a geometry-optimized Ce2I2Cl3 structure.

Unit cell a=13.0644 b=4.2050 c=8.5479 alpha=90.00 beta=114.55 gamma=90.00
Last column: nearest neighbours and their distance in Å.
Element x y z (fractional)
1 Ce 0.1679 0.0000 0.2143  5 Cl 2.90-3.04
2 Ce 0.3321 0.5000 0.7857  5 Cl 2.90-3.04
3 Ce 0.6679 0.5000 0.2143  5 Cl 2.90-3.04
4 Ce 0.8321 0.0000 0.7857  5 Cl 2.90-3.04
5 I 0.1448 0.0000 0.7968  3 Ce 3.26-3.45
6 I 0.3552 0.5000 0.2032  3 Ce 3.26-3.45
7 I 0.6448 0.5000 0.7968  3 Ce 3.26-3.45
8 I 0.8552 0.0000 0.2032  3 Ce 3.26-3.45
9 Cl 0.0000 0.5000 0.0000  4 Ce 3.04, 2 Cl 3.34
10 Cl 0.1401 0.5000 0.4279  3 Ce 2.90-3.04
11 Cl 0.3599 0.0000 0.5721  3 Ce 2.90-3.04
12 Cl 0.5000 0.0000 0.0000  4 Ce 3.04, 2 Cl 3.34
13 Cl 0.6401 0.0000 0.4279  3 Ce 2.90-3.04
14 Cl 0.8599 0.5000 0.5721  3 Ce 2.90-3.04

Properties
The value obtained for the calculated volume is 427.1 Å³ per cell. As for the symmetry: C2/m, No. 12. As for the uncorrected formation energy: -1.775 eV/atom. Its total magnetization is 2.87 μB per formula unit.